# 1
## SnPdSe2 (PBE)

Data for SnPdSe2 after structural relaxation.

Calculated values
Spin magnetization ... 0.00 μB per formula unit
E_tot ... -0.3152 Ry per atom

Cell lengths 3.8832, 3.8832, 20.5657 Å; angles 90.00, 90.00, 120.00 degrees
Space group R3m (No. 160, hexagonal axes)
Asymmetric unit:
1 Sn 0.0000 0.0000 0.0000 x3
2 Pd 0.0000 0.0000 0.1660 x3
3 Se 0.0000 0.0000 0.5655 x3
4 Se 0.0000 0.0000 0.7644 x3

=====

# 2
## Lu3Ga5Ni (PBE)

Data for Lu3Ga5Ni after structural relaxation.

Calculated values
Spin magnetization ... 0.00 μB per formula unit
E_tot ... -0.3297 Ry per atom

Cell lengths 6.7748, 6.7748, 4.1822 Å; angles 90.00, 90.00, 120.00 degrees
Space group P-62m (No. 189)
Asymmetric unit:
1 Lu 0.0000 0.5923 0.0000 x3
2 Ga 0.0000 0.2362 0.5000 x3
3 Ga 0.3333 0.6667 0.5000 x2
4 Ni 0.0000 0.0000 0.0000 x1

=====

# 3
## CuTc4P (PBE)

Data for CuTc4P after structural relaxation.

Calculated values
Spin magnetization ... 0.00 μB per formula unit
E_tot ... -0.5710 Ry per atom

Cell lengths 7.2029, 7.2029, 7.2029 Å; angles 90.00, 90.00, 90.00 degrees
Space group F-43m (No. 216)
Asymmetric unit:
1 Cu 0.0000 0.0000 0.0000 x4
2 Tc 0.1250 0.1250 0.3750 x16
3 P 0.2500 0.2500 0.7500 x4

=====

# 4
## Fe2Te (PBE)

Data for Fe2Te after structural relaxation.

Calculated values
Spin magnetization ... 5.24 μB per formula unit
E_tot ... -0.4615 Ry per atom

Cell lengths 5.2308, 5.2308, 8.1531 Å; angles 90.00, 90.00, 120.00 degrees
Space group P6_3/mmc (No. 194)
Asymmetric unit:
1 Fe 0.0000 0.0000 0.0000 x2
2 Fe 0.1677 0.3354 0.2500 x6
3 Te 0.3333 0.6667 0.5508 x4

=====

# 5
## CaZn2Pt5 (PBE)

Data for CaZn2Pt5 after structural relaxation.

Calculated values
Spin magnetization ... 0.00 μB per formula unit
E_tot ... -0.3547 Ry per atom

Cell lengths 3.8079, 7.3778, 9.9806 Å; angles 90.00, 90.00, 90.00 degrees
Space group Immm (No. 71)
Asymmetric unit:
1 Ca 0.0000 0.0000 0.0000 x2
2 Zn 0.0000 0.5000 0.2543 x4
3 Pt 0.0000 0.1948 0.3570 x8
4 Pt 0.0000 0.5000 0.0000 x2

=====

# 6
## Zr2Bi2W (PBE)

Data for Zr2Bi2W after structural relaxation.

Calculated values
Spin magnetization ... 0.00 μB per formula unit
Distance to the lowest polymorph of the same formula ... 0.289 eV per atom
E_tot ... -0.4968 Ry per atom

Cell lengths 4.0585, 4.0585, 15.7736 Å; angles 90.00, 90.00, 90.00 degrees
Space group I4/mmm (No. 139)
Asymmetric unit:
1 Zr 0.0000 0.0000 0.0917 x4
2 Bi 0.0000 0.5000 0.2500 x4
3 W 0.0000 0.0000 0.5000 x2

=====

# 7
## Ta2ReI (PBE)

Data for Ta2ReI after structural relaxation.

Calculated values
Spin magnetization ... 0.00 μB per formula unit
Distance to the lowest polymorph of the same formula ... 0.000 eV per atom
E_tot ... -0.6280 Ry per atom

Cell lengths 6.6688, 6.6688, 6.6688 Å; angles 90.00, 90.00, 90.00 degrees
Space group Fm-3m (No. 225)
Asymmetric unit:
1 Ta 0.2500 0.2500 0.2500 x8
2 Re 0.0000 0.0000 0.0000 x4
3 I 0.0000 0.0000 0.5000 x4

=====

# 8
## PaOF2 (PBE)

Data for PaOF2 after structural relaxation.

Calculated values
Spin magnetization ... 1.00 μB per formula unit
Distance to the lowest polymorph of the same formula ... 0.384 eV per atom
E_tot ... -0.5548 Ry per atom

Cell lengths 5.6583, 5.6583, 5.6583 Å; angles 90.00, 90.00, 90.00 degrees
Space group Fm-3m (No. 225)
Asymmetric unit:
1 Pa 0.0000 0.0000 0.0000 x4
2 O 0.0000 0.0000 0.5000 x4
3 F 0.2500 0.2500 0.2500 x8

=====

# 9
## Tb2PmTm5 (PBE)

Data for Tb2PmTm5 after structural relaxation.

Calculated values
Spin magnetization ... 0.00 μB per formula unit
Distance to the lowest polymorph of the same formula ... 0.125 eV per atom
E_tot ... -0.3233 Ry per atom

Cell lengths 5.6012, 16.1603, 11.3642 Å; angles 90.00, 90.00, 90.00 degrees
Space group Cmcm (No. 63)
Asymmetric unit:
1 Tb 0.0000 0.2117 0.0814 x8
2 Pm 0.0000 0.2272 0.7500 x4
3 Tm 0.0000 0.0437 0.6121 x8
4 Tm 0.0000 0.3965 0.2500 x4
5 Tm 0.0000 0.4135 0.5779 x8

=====

# 10
## CuMoBr2 (PBE)

Data for CuMoBr2 after structural relaxation.

Calculated values
Spin magnetization ... 4.18 μB per formula unit
Distance to the lowest polymorph of the same formula ... 0.511 eV per atom
E_tot ... -0.2847 Ry per atom

Cell lengths 3.6915, 3.9454, 6.3664 Å; angles 90.00, 90.00, 90.00 degrees
Space group Pmmm (No. 47)
Asymmetric unit:
1 Cu 0.0000 0.0000 0.0000 x1
2 Mo 0.5000 0.0000 0.5000 x1
3 Br 0.0000 0.5000 0.5000 x1
4 Br 0.5000 0.5000 0.0000 x1

=====

# 11
## BeSnTe3 (PBE)

Data for BeSnTe3 after structural relaxation.

Calculated values
Spin magnetization ... 0.00 μB per formula unit
Distance to the lowest polymorph of the same formula ... 0.791 eV per atom
E_tot ... -0.1802 Ry per atom

Cell lengths 5.6887, 5.6887, 5.6887 Å; angles 90.00, 90.00, 90.00 degrees
Space group Pm-3m (No. 221)
Asymmetric unit:
1 Be 0.0000 0.0000 0.0000 x1
2 Sn 0.5000 0.5000 0.5000 x1
3 Te 0.0000 0.5000 0.5000 x3

=====

# 12
## CaSmTl6 (PBE)

Data for CaSmTl6 after structural relaxation.

Calculated values
Spin magnetization ... 0.00 μB per formula unit
E_tot ... -0.2111 Ry per atom

Cell lengths 4.8182, 4.8182, 9.7078 Å; angles 90.00, 90.00, 90.00 degrees
Space group P4/mmm (No. 123)
Asymmetric unit:
1 Ca 0.0000 0.0000 0.0000 x1
2 Sm 0.0000 0.0000 0.5000 x1
3 Tl 0.0000 0.5000 0.2512 x4
4 Tl 0.5000 0.5000 0.0000 x1
5 Tl 0.5000 0.5000 0.5000 x1